Entry 1:
First-principles (GGA-PBE) data for a geometry-optimized SeBr3 structure, as listed in the Alexandria database.

Calculated values
**Uncorrected formation energy**: 25.9 kJ per mole of atoms

abc: 12.7127 12.7127 12.7127
angles: 15.25 15.25 15.25
Fractional coordinates of all 4 atoms:
1 Br 0.5000 0.5000 0.5000
2 Br 0.9349 0.9349 0.9349
3 Br 0.0651 0.0651 0.0651
4 Se 0.0000 0.0000 0.0000


Entry 2:
First-principles (GGA-PBE) data for a geometry-optimized ScBeOF2 structure, as listed in the Alexandria database.

Calculated values
**Uncorrected formation energy**: -202.0 kJ per mole of atoms
**Excess energy over the best structure of this formula in the dataset**: 452 meV per atom

abc: 4.0938 4.0938 4.0845
angles: 90.00 90.00 90.00
Fractional coordinates of all 5 atoms:
1 Be 0.5000 0.5000 0.5000
2 F 0.5000 0.0000 0.0000
3 F 0.0000 0.5000 0.0000
4 O 0.0000 0.0000 0.5000
5 Sc 0.0000 0.0000 0.0000


Entry 3:
First-principles (GGA-PBE) data for a geometry-optimized CrAs2Ir structure, as listed in the Alexandria database.

Calculated values
**Excess energy over the best structure of this formula in the dataset**: 244 meV per atom
**ΔE_f**: 0.2030 eV per atom

abc: 5.4142 5.4142 7.0041
angles: 67.26 67.26 90.00
Fractional coordinates of all 8 atoms:
1 Cr 0.5000 0.5000 0.0000
2 Cr 0.2500 0.7500 0.5000
3 Ir 0.7500 0.2500 0.5000
4 Ir 0.0000 0.0000 0.0000
5 As 0.3750 0.3685 0.7500
6 As 0.8750 0.8815 0.7500
7 As 0.6315 0.1250 0.2500
8 As 0.1185 0.6250 0.2500


Entry 4:
First-principles (GGA-PBE) data for a geometry-optimized MgCoSi2 structure, as listed in the Alexandria database.

Calculated values
**Uncorrected formation energy**: 6.4 kJ per mole of atoms

abc: 3.7306 3.7316 3.8528
angles: 90.00 90.00 90.00
Fractional coordinates of all 4 atoms:
1 Mg 0.0000 0.5000 0.5000
2 Si 0.0000 0.0000 0.0000
3 Si 0.5000 0.5000 0.0000
4 Co 0.5000 0.0000 0.5000


Entry 5:
First-principles (GGA-PBE) data for a geometry-optimized Nd2Ga2CuPd5 structure, as listed in the Alexandria database.

Calculated values
**ΔE_f**: -0.5836 eV per atom

abc: 3.4705 10.2855 10.2855
angles: 90.00 90.00 90.00
Fractional coordinates of all 20 atoms:
1 Cu 0.0000 0.5000 0.5000
2 Cu 0.0000 0.0000 0.0000
3 Pd 0.5000 0.5558 0.6956
4 Pd 0.5000 0.6956 0.4442
5 Pd 0.5000 0.0558 0.8044
6 Pd 0.5000 0.5000 0.0000
7 Pd 0.5000 0.8044 0.9442
8 Pd 0.5000 0.1956 0.0558
9 Pd 0.5000 0.3044 0.5558
10 Pd 0.5000 0.4442 0.3044
11 Pd 0.5000 0.0000 0.5000
12 Pd 0.5000 0.9442 0.1956
13 Nd 0.0000 0.1757 0.3243
14 Nd 0.0000 0.6757 0.1757
15 Nd 0.0000 0.8243 0.6757
16 Nd 0.0000 0.3243 0.8243
17 Ga 0.0000 0.8731 0.3731
18 Ga 0.0000 0.6269 0.8731
19 Ga 0.0000 0.1269 0.6269
20 Ga 0.0000 0.3731 0.1269


Entry 6:
First-principles (GGA-PBE) data for a geometry-optimized Y2Cd structure, as listed in the Alexandria database.

Calculated values
**ΔE_f**: -0.0917 eV per atom

abc: 5.2598 5.2598 3.5949
angles: 90.00 90.00 120.00
Fractional coordinates of all 3 atoms:
1 Y 0.3333 0.6667 0.2780
2 Y 0.6667 0.3333 0.7220
3 Cd 0.0000 0.0000 0.0000


Question: What is the formula in the fourth record?
Answer: MgCoSi2